No. 1
ZnIrPb2 | PBEsol | relaxed

## Properties
Spin magnetization = 0.0 Bohr magnetons per cell
Energy = -4.404 eV/atom
SG = No. 12
Formation energy = 43 kJ/mol of atoms

a = 4.8871 Å, b = 4.8871 Å, c = 3.4015 Å
α = 90.07°, β = 90.07°, γ = 90.18°
Fractional coordinates of all 4 atoms:
Zn1 0.0000 0.0000 0.0000
Ir1 0.5000 0.5000 0.0000
Pb1 0.0000 0.5000 0.5000
Pb2 0.5000 0.0000 0.5000

No. 2
ZrIrPb | PBEsol | relaxed

## Properties
Spin magnetization = 0.0 Bohr magnetons per cell
Energy = -7.701 eV/atom
SG = No. 156
Formation energy = -6 kJ/mol of atoms

a = 3.5131 Å, b = 3.5131 Å, c = 6.3107 Å
α = 90.00°, β = 90.00°, γ = 120.00°
Fractional coordinates of all 3 atoms:
Zr1 0.0000 0.0000 0.0000
Ir1 0.3333 0.6667 0.7542
Pb1 0.6667 0.3333 0.4144

No. 3
ZrIrPb | PBEsol | relaxed

## Properties
Spin magnetization = 0.0 Bohr magnetons per cell
Energy = -7.875 eV/atom
SG = No. 44
Formation energy = -23 kJ/mol of atoms

a = 6.1508 Å, b = 6.1508 Å, c = 6.1508 Å
α = 150.29°, β = 147.80°, γ = 44.38°
Fractional coordinates of all 3 atoms:
Zr1 0.0000 0.0000 0.0000
Ir1 0.3783 0.3783 0.0000
Pb1 0.7046 0.7046 0.0000

No. 4
ZrIrPb | PBEsol | relaxed

## Properties
Spin magnetization = 0.0 Bohr magnetons per cell
Energy = -7.905 eV/atom
SG = No. 187
Formation energy = -26 kJ/mol of atoms

a = 4.6476 Å, b = 4.6476 Å, c = 3.0547 Å
α = 90.00°, β = 90.00°, γ = 120.00°
Fractional coordinates of all 3 atoms:
Zr1 0.0000 0.0000 0.0000
Ir1 0.6667 0.3333 0.5000
Pb1 0.3333 0.6667 0.5000

No. 5
Pm2IrPd | PBEsol | relaxed

## Properties
Spin magnetization = 0.0 Bohr magnetons per cell
Energy = -7.213 eV/atom
SG = No. 225
Formation energy = -67 kJ/mol of atoms

a = 4.9433 Å, b = 4.9433 Å, c = 4.9433 Å
α = 60.00°, β = 60.00°, γ = 60.00°
Fractional coordinates of all 4 atoms:
Pm1 0.2500 0.2500 0.2500
Pm2 0.7500 0.7500 0.7500
Ir1 0.0000 0.0000 0.0000
Pd1 0.5000 0.5000 0.5000

No. 6
SnIr2PdPt | PBEsol | relaxed

## Properties
Spin magnetization = 1.6 Bohr magnetons per cell
Energy = -5.576 eV/atom
SG = No. 123
Formation energy = 173 kJ/mol of atoms

a = 4.6891 Å, b = 4.6891 Å, c = 4.7284 Å
α = 90.00°, β = 90.00°, γ = 90.00°
Fractional coordinates of all 5 atoms:
Sn1 0.0000 0.0000 0.0000
Ir1 0.0000 0.5000 0.5000
Ir2 0.5000 0.0000 0.5000
Pd1 0.0000 0.0000 0.5000
Pt1 0.5000 0.5000 0.0000

No. 7
Rb3IrPd | PBEsol | relaxed

## Properties
Spin magnetization = 1.8 Bohr magnetons per cell
Energy = -2.575 eV/atom
SG = No. 221
Formation energy = 115 kJ/mol of atoms

a = 6.0270 Å, b = 6.0270 Å, c = 6.0270 Å
α = 90.00°, β = 90.00°, γ = 90.00°
Fractional coordinates of all 5 atoms:
Rb1 0.0000 0.0000 0.5000
Rb2 0.0000 0.5000 0.0000
Rb3 0.5000 0.0000 0.0000
Ir1 0.0000 0.0000 0.0000
Pd1 0.5000 0.5000 0.5000

No. 8
Re2IrPdRh | PBEsol | relaxed

## Properties
Spin magnetization = 0.0 Bohr magnetons per cell
Energy = -7.771 eV/atom
SG = No. 123
Formation energy = 226 kJ/mol of atoms

a = 4.5398 Å, b = 4.5398 Å, c = 4.6409 Å
α = 90.00°, β = 90.00°, γ = 90.00°
Fractional coordinates of all 5 atoms:
Re1 0.0000 0.5000 0.0000
Re2 0.5000 0.0000 0.0000
Ir1 0.0000 0.0000 0.5000
Pd1 0.5000 0.5000 0.5000
Rh1 0.0000 0.0000 0.0000

No. 9
IrPd3S | PBEsol | relaxed

## Properties
Spin magnetization = 0.0 Bohr magnetons per cell
Formation energy from raw total energies = 269 kJ/mol of formula units
Energy = -5.859 eV/atom
SG = No. 221

a = 4.3288 Å, b = 4.3288 Å, c = 4.3288 Å
α = 90.00°, β = 90.00°, γ = 90.00°
Fractional coordinates of all 5 atoms:
Ir1 0.0000 0.0000 0.0000
Pd1 0.0000 0.5000 0.5000
Pd2 0.5000 0.0000 0.5000
Pd3 0.5000 0.5000 0.0000
S1 0.5000 0.5000 0.5000

No. 10
SbIrPdS2 | PBEsol | relaxed

## Properties
Spin magnetization = 0.0 Bohr magnetons per cell
Formation energy from raw total energies = 517 kJ/mol of formula units
Energy = -4.749 eV/atom
SG = No. 123

a = 4.4458 Å, b = 4.4458 Å, c = 5.1649 Å
α = 90.00°, β = 90.00°, γ = 90.00°
Fractional coordinates of all 5 atoms:
Sb1 0.0000 0.0000 0.0000
Ir1 0.5000 0.5000 0.0000
Pd1 0.0000 0.0000 0.5000
S1 0.0000 0.5000 0.5000
S2 0.5000 0.0000 0.5000

No. 11
SrIrPdS2 | PBEsol | relaxed

## Properties
Spin magnetization = 2.8 Bohr magnetons per cell
Formation energy from raw total energies = 814 kJ/mol of formula units
Energy = -3.590 eV/atom
SG = No. 123

a = 5.2381 Å, b = 5.2381 Å, c = 4.9242 Å
α = 90.00°, β = 90.00°, γ = 90.00°
Fractional coordinates of all 5 atoms:
Sr1 0.0000 0.0000 0.0000
Ir1 0.5000 0.5000 0.5000
Pd1 0.0000 0.0000 0.5000
S1 0.0000 0.5000 0.0000
S2 0.5000 0.0000 0.0000

No. 12
Sb3IrPd | PBEsol | relaxed

## Properties
Spin magnetization = 0.0 Bohr magnetons per cell
Formation energy from raw total energies = 336 kJ/mol of formula units
Energy = -5.194 eV/atom
SG = No. 221

a = 5.0626 Å, b = 5.0626 Å, c = 5.0626 Å
α = 90.00°, β = 90.00°, γ = 90.00°
Fractional coordinates of all 5 atoms:
Sb1 0.0000 0.0000 0.5000
Sb2 0.0000 0.5000 0.0000
Sb3 0.5000 0.0000 0.0000
Ir1 0.0000 0.0000 0.0000
Pd1 0.5000 0.5000 0.5000

No. 13
Sc2IrPd | PBEsol | relaxed

## Properties
Spin magnetization = 0.0 Bohr magnetons per cell
Energy = -8.227 eV/atom
SG = No. 225
Formation energy = -94 kJ/mol of atoms

a = 4.5569 Å, b = 4.5569 Å, c = 4.5569 Å
α = 60.00°, β = 60.00°, γ = 60.00°
Fractional coordinates of all 4 atoms:
Sc1 0.2500 0.2500 0.2500
Sc2 0.7500 0.7500 0.7500
Ir1 0.0000 0.0000 0.0000
Pd1 0.5000 0.5000 0.5000

No. 14
SiIrPdSe2 | PBEsol | relaxed

## Properties
Spin magnetization = 1.2 Bohr magnetons per cell
Formation energy from raw total energies = 579 kJ/mol of formula units
Energy = -4.646 eV/atom
SG = No. 123

a = 4.7317 Å, b = 4.7317 Å, c = 4.8551 Å
α = 90.00°, β = 90.00°, γ = 90.00°
Fractional coordinates of all 5 atoms:
Si1 0.0000 0.0000 0.0000
Ir1 0.5000 0.5000 0.0000
Pd1 0.5000 0.5000 0.5000
Se1 0.0000 0.5000 0.5000
Se2 0.5000 0.0000 0.5000

No. 15
Si2Ir2Pd | PBEsol | relaxed

## Properties
Spin magnetization = 0.0 Bohr magnetons per cell
Formation energy from raw total energies = -293 kJ/mol of formula units
Energy = -8.027 eV/atom
SG = No. 127

a = 6.9964 Å, b = 6.9964 Å, c = 2.7723 Å
α = 90.00°, β = 90.00°, γ = 90.00°
Fractional coordinates of all 10 atoms:
Si1 0.1527 0.3473 0.0000
Si2 0.3473 0.8473 0.0000
Si3 0.6527 0.1527 0.0000
Si4 0.8473 0.6527 0.0000
Ir1 0.1440 0.6440 0.5000
Ir2 0.3560 0.1440 0.5000
Ir3 0.6440 0.8560 0.5000
Ir4 0.8560 0.3560 0.5000
Pd1 0.0000 0.0000 0.0000
Pd2 0.5000 0.5000 0.0000

No. 16
SiIrPd3 | PBEsol | relaxed

## Properties
Spin magnetization = 0.0 Bohr magnetons per cell
Formation energy from raw total energies = 311 kJ/mol of formula units
Energy = -6.045 eV/atom
SG = No. 221

a = 4.3498 Å, b = 4.3498 Å, c = 4.3498 Å
α = 90.00°, β = 90.00°, γ = 90.00°
Fractional coordinates of all 5 atoms:
Si1 0.0000 0.0000 0.0000
Ir1 0.5000 0.5000 0.5000
Pd1 0.0000 0.0000 0.5000
Pd2 0.0000 0.5000 0.0000
Pd3 0.5000 0.0000 0.0000

No. 17
SnIrPd3 | PBEsol | relaxed

## Properties
Spin magnetization = 1.4 Bohr magnetons per cell
Energy = -4.956 eV/atom
SG = No. 221
Formation energy = 139 kJ/mol of atoms

a = 4.7354 Å, b = 4.7354 Å, c = 4.7354 Å
α = 90.00°, β = 90.00°, γ = 90.00°
Fractional coordinates of all 5 atoms:
Sn1 0.0000 0.0000 0.0000
Ir1 0.5000 0.5000 0.5000
Pd1 0.0000 0.0000 0.5000
Pd2 0.0000 0.5000 0.0000
Pd3 0.5000 0.0000 0.0000

No. 18
SrIrPd3 | PBEsol | relaxed

## Properties
Spin magnetization = 0.5 Bohr magnetons per cell
Energy = -5.469 eV/atom
SG = No. 221
Formation energy = 42 kJ/mol of atoms

a = 4.8457 Å, b = 4.8457 Å, c = 4.8457 Å
α = 90.00°, β = 90.00°, γ = 90.00°
Fractional coordinates of all 5 atoms:
Sr1 0.0000 0.0000 0.0000
Ir1 0.5000 0.5000 0.5000
Pd1 0.0000 0.5000 0.5000
Pd2 0.5000 0.0000 0.5000
Pd3 0.5000 0.5000 0.0000

No. 19
TcIr2Pd2 | PBEsol | relaxed

## Properties
Spin magnetization = 1.5 Bohr magnetons per cell
Energy = -7.938 eV/atom
SG = No. 139
Formation energy = 61 kJ/mol of atoms

a = 6.7638 Å, b = 6.7638 Å, c = 6.7638 Å
α = 149.73°, β = 149.73°, γ = 43.33°
Fractional coordinates of all 5 atoms:
Tc1 0.0000 0.0000 0.0000
Ir1 0.4045 0.4045 0.0000
Ir2 0.5955 0.5955 0.0000
Pd1 0.2500 0.7500 0.5000
Pd2 0.7500 0.2500 0.5000

No. 20
TcIrPd3 | PBEsol | relaxed

## Properties
Spin magnetization = 0.0 Bohr magnetons per cell
Energy = -5.951 eV/atom
SG = No. 221
Formation energy = 178 kJ/mol of atoms

a = 4.5588 Å, b = 4.5588 Å, c = 4.5588 Å
α = 90.00°, β = 90.00°, γ = 90.00°
Fractional coordinates of all 5 atoms:
Tc1 0.0000 0.0000 0.0000
Ir1 0.5000 0.5000 0.5000
Pd1 0.0000 0.0000 0.5000
Pd2 0.0000 0.5000 0.0000
Pd3 0.5000 0.0000 0.0000

No. 21
TcIrPd2 | PBEsol | relaxed

## Properties
Spin magnetization = 0.0 Bohr magnetons per cell
Energy = -7.860 eV/atom
SG = No. 225
Formation energy = 38 kJ/mol of atoms

a = 4.3290 Å, b = 4.3290 Å, c = 4.3290 Å
α = 60.00°, β = 60.00°, γ = 60.00°
Fractional coordinates of all 4 atoms:
Tc1 0.0000 0.0000 0.0000
Ir1 0.5000 0.5000 0.5000
Pd1 0.2500 0.2500 0.2500
Pd2 0.7500 0.7500 0.7500

No. 22
TcIr2Pd | PBEsol | relaxed

## Properties
Spin magnetization = 1.4 Bohr magnetons per cell
Energy = -8.821 eV/atom
SG = No. 225
Formation energy = 38 kJ/mol of atoms

a = 4.3397 Å, b = 4.3397 Å, c = 4.3397 Å
α = 60.00°, β = 60.00°, γ = 60.00°
Fractional coordinates of all 4 atoms:
Tc1 0.0000 0.0000 0.0000
Ir1 0.2500 0.2500 0.2500
Ir2 0.7500 0.7500 0.7500
Pd1 0.5000 0.5000 0.5000

No. 23
TiIr3Pd | PBEsol | relaxed

## Properties
Spin magnetization = 1.0 Bohr magnetons per cell
Energy = -7.370 eV/atom
SG = No. 221
Formation energy = 133 kJ/mol of atoms

a = 4.4731 Å, b = 4.4731 Å, c = 4.4731 Å
α = 90.00°, β = 90.00°, γ = 90.00°
Fractional coordinates of all 5 atoms:
Ti1 0.0000 0.0000 0.0000
Ir1 0.0000 0.0000 0.5000
Ir2 0.0000 0.5000 0.0000
Ir3 0.5000 0.0000 0.0000
Pd1 0.5000 0.5000 0.5000

No. 24
TlIr3Pd | PBEsol | relaxed

## Properties
Spin magnetization = 2.6 Bohr magnetons per cell
Energy = -5.580 eV/atom
SG = No. 221
Formation energy = 196 kJ/mol of atoms

a = 4.7152 Å, b = 4.7152 Å, c = 4.7152 Å
α = 90.00°, β = 90.00°, γ = 90.00°
Fractional coordinates of all 5 atoms:
Tl1 0.0000 0.0000 0.0000
Ir1 0.0000 0.5000 0.5000
Ir2 0.5000 0.0000 0.5000
Ir3 0.5000 0.5000 0.0000
Pd1 0.5000 0.5000 0.5000

No. 25
Tm2IrPd | PBEsol | relaxed

## Properties
Spin magnetization = 0.0 Bohr magnetons per cell
Energy = -7.359 eV/atom
SG = No. 225
Formation energy = -93 kJ/mol of atoms

a = 4.7554 Å, b = 4.7554 Å, c = 4.7554 Å
α = 60.00°, β = 60.00°, γ = 60.00°
Fractional coordinates of all 4 atoms:
Tm1 0.2500 0.2500 0.2500
Tm2 0.7500 0.7500 0.7500
Ir1 0.0000 0.0000 0.0000
Pd1 0.5000 0.5000 0.5000

No. 26
Y2IrPd | PBEsol | relaxed

## Properties
Spin magnetization = 0.0 Bohr magnetons per cell
Energy = -8.222 eV/atom
SG = No. 225
Formation energy = -83 kJ/mol of atoms

a = 4.8275 Å, b = 4.8275 Å, c = 4.8275 Å
α = 60.00°, β = 60.00°, γ = 60.00°
Fractional coordinates of all 4 atoms:
Y1 0.2500 0.2500 0.2500
Y2 0.7500 0.7500 0.7500
Ir1 0.0000 0.0000 0.0000
Pd1 0.5000 0.5000 0.5000

No. 27
ZnIr3Pd | PBEsol | relaxed

## Properties
Spin magnetization = 1.9 Bohr magnetons per cell
Energy = -5.619 eV/atom
SG = No. 221
Formation energy = 172 kJ/mol of atoms

a = 4.4252 Å, b = 4.4252 Å, c = 4.4252 Å
α = 90.00°, β = 90.00°, γ = 90.00°
Fractional coordinates of all 5 atoms:
Zn1 0.0000 0.0000 0.0000
Ir1 0.0000 0.0000 0.5000
Ir2 0.0000 0.5000 0.0000
Ir3 0.5000 0.0000 0.0000
Pd1 0.5000 0.5000 0.5000

No. 28
Pr5Ir2 | PBEsol | relaxed

## Properties
Spin magnetization = 0.0 Bohr magnetons per cell
Energy = -6.949 eV/atom
SG = No. 15
Formation energy = -42 kJ/mol of atoms

a = 8.9064 Å, b = 8.9064 Å, c = 7.2817 Å
α = 96.33°, β = 96.33°, γ = 43.65°
Fractional coordinates of all 14 atoms:
Pr1 0.0717 0.9283 0.7500
Pr2 0.1469 0.2898 0.3152
Pr3 0.2898 0.1469 0.8152
Pr4 0.2970 0.5186 0.0789
Pr5 0.4814 0.7030 0.4211
Pr6 0.5186 0.2970 0.5789
Pr7 0.7030 0.4814 0.9211
Pr8 0.7102 0.8531 0.1848
Pr9 0.8531 0.7102 0.6848
Pr10 0.9283 0.0717 0.2500
Ir1 0.0944 0.6828 0.4239
Ir2 0.3172 0.9056 0.0761
Ir3 0.6828 0.0944 0.9239
Ir4 0.9056 0.3172 0.5761